Density functional theory data (PBE) for a relaxed structure of RbZr2Tc.

```
RbZr2Tc
1.0
2.840 -2.543 3.233
1.304 2.080 4.354
-1.975 -1.692 4.268
Rb Tc Zr
1 1 2
direct
0.000 0.000 0.000
0.500 0.500 0.500
0.750 0.750 0.750
0.250 0.250 0.250
```

Properties
Space group ... No. 225
Energy of formation from the pure elements ... 995 meV/atom
Energy ... -0.225 hartree per atom
Relative energy among the computed polymorphs ... 0.000 eV per atom

Density functional theory data (PBE) for a relaxed structure of PmDyHgPd.

```
PmDyHgPd
1.0
3.866 0.000 0.000
0.000 4.741 0.000
-1.933 0.000 5.545
Dy Pm Hg Pd
1 1 1 1
direct
0.139 0.000 0.279
0.856 0.500 0.713
0.419 0.000 0.838
0.585 0.500 0.171
```

Properties
Space group ... No. 38
Energy of formation from the pure elements ... -621 meV/atom
Energy ... -0.159 hartree per atom
Relative energy among the computed polymorphs ... 0.000 eV per atom